[1]
Computed, not measured: TbFe2B3 after structural relaxation at the PBE level of DFT.

The calculation puts the formation energy at -0.44 eV/atom.

The structure belongs to space group Cmcm (No. 63); the cell edges are 8.3166, 5.8953 and 5.0416 Å and the angles 90.00°, 90.00° and 90.00°. The distinct sites, in fractional coordinates, are Tb at (0.0000, 0.1687, 0.2500), Fe at (0.1938, 0.5000, 0.0000), B at (0.0000, 0.3666, 0.7500) and B at (0.1784, 0.2097, 0.7500).

[2]
Computed, not measured: TbFeB after structural relaxation at the PBE level of DFT.

The calculation puts the formation energy at -0.36 eV/atom. The energy above the most stable polymorph in this dataset is 0 meV per atom.

The structure belongs to space group P4/nmm (No. 129, origin choice 2); the cell edges are 3.5420, 3.5420 and 7.7031 Å and the angles 90.00°, 90.00° and 90.00°. The distinct sites, in fractional coordinates, are Tb at (0.2500, 0.2500, 0.1975), Fe at (0.2500, 0.7500, 0.5000) and B at (0.2500, 0.2500, 0.6320).

[3]
Computed, not measured: TbFeB2 after structural relaxation at the PBE level of DFT.

The calculation puts the formation energy at -0.27 eV/atom. The energy above the most stable polymorph in this dataset is 106 meV per atom.

The structure belongs to space group R-3m (No. 166, hexagonal axes); the cell edges are 3.4800, 3.4800 and 14.0213 Å and the angles 90.00°, 90.00° and 120.00°. The distinct sites, in fractional coordinates, are Tb at (0.0000, 0.0000, 0.0000), Fe at (0.0000, 0.0000, 0.5000) and B at (0.0000, 0.0000, 0.1944).

[4]
Computed, not measured: TbFe2B after structural relaxation at the PBE level of DFT.

The calculation puts the formation energy at -0.14 eV/atom.

The structure belongs to space group R-3m (No. 166, hexagonal axes); the cell edges are 3.7179, 3.7179 and 14.7075 Å and the angles 90.00°, 90.00° and 120.00°. The distinct sites, in fractional coordinates, are Tb at (0.0000, 0.0000, 0.0000), Fe at (0.0000, 0.0000, 0.1874) and B at (0.0000, 0.0000, 0.5000).

[5]
Computed, not measured: Tb4Fe3B6 after structural relaxation at the PBE level of DFT.

The calculation puts the formation energy at -0.38 eV/atom.

The structure belongs to space group R-3m (No. 166, hexagonal axes); the cell edges are 5.3284, 5.3284 and 22.0035 Å and the angles 90.00°, 90.00° and 120.00°. The distinct sites, in fractional coordinates, are Tb at (0.0000, 0.0000, 0.0880), Tb at (0.0000, 0.0000, 0.2443), Fe at (0.0000, 0.0000, 0.3864), Fe at (0.0000, 0.0000, 0.5000) and B at (0.0000, 0.3326, 0.0000).

[6]
Computed, not measured: Tb2FeB10 after structural relaxation at the PBE level of DFT.

The calculation puts the formation energy at -0.51 eV/atom.

The structure belongs to space group Pbam (No. 55); the cell edges are 5.5806, 11.1143 and 4.1514 Å and the angles 90.00°, 90.00° and 90.00°. The distinct sites, in fractional coordinates, are Tb at (0.2139, 0.1298, 0.0000), Fe at (0.0000, 0.5000, 0.5000), B at (0.0328, 0.3141, 0.5000), B at (0.1283, 0.9607, 0.5000), B at (0.1549, 0.8019, 0.5000) and B at (0.2041, 0.3866, 0.2010).

[7]
Computed, not measured: TbFe12B6 after structural relaxation at the PBE level of DFT.

The calculation puts the formation energy at -0.29 eV/atom.

The structure belongs to space group R-3m (No. 166, hexagonal axes); the cell edges are 9.5257, 9.5257 and 7.4224 Å and the angles 90.00°, 90.00° and 120.00°. The distinct sites, in fractional coordinates, are Tb at (0.0000, 0.0000, 0.0000), Fe at (0.0000, 0.3705, 0.5000), Fe at (0.0891, 0.1782, 0.3639) and B at (0.0261, 0.5131, 0.2806).

[8]
Computed, not measured: TbFeB after structural relaxation at the PBE level of DFT.

The calculation puts the formation energy at -0.16 eV/atom. The energy above the most stable polymorph in this dataset is 194 meV per atom.

The structure belongs to space group R-3m (No. 166, hexagonal axes); the cell edges are 3.4895, 3.4895 and 27.9738 Å and the angles 90.00°, 90.00° and 120.00°. The distinct sites, in fractional coordinates, are Tb at (0.0000, 0.0000, 0.1063), Fe at (0.0000, 0.0000, 0.3605) and B at (0.0000, 0.0000, 0.2875).

[9]
Computed, not measured: TbFeB4 after structural relaxation at the PBE level of DFT.

The calculation puts the formation energy at -0.18 eV/atom. The energy above the most stable polymorph in this dataset is 415 meV per atom.

The structure belongs to space group Immm (No. 71); the cell edges are 3.1353, 5.3633 and 7.3141 Å and the angles 90.00°, 90.00° and 90.00°. The distinct sites, in fractional coordinates, are Tb at (0.0000, 0.0000, 0.0000), Fe at (0.0000, 0.0000, 0.5000) and B at (0.0000, 0.3323, 0.2497).

[10]
Computed, not measured: TbFe12B4 after structural relaxation at the PBE level of DFT.

The calculation puts the formation energy at 0.07 eV/atom.

The structure belongs to space group Im-3 (No. 204); the cell edges are 7.3084, 7.3084 and 7.3084 Å and the angles 90.00°, 90.00° and 90.00°. The distinct sites, in fractional coordinates, are Tb at (0.0000, 0.0000, 0.0000), Fe at (0.0000, 0.1756, 0.3397) and B at (0.2500, 0.2500, 0.2500).

[11]
Computed, not measured: TbFe10B2 after structural relaxation at the PBE level of DFT.

The calculation puts the formation energy at -0.05 eV/atom.

The structure belongs to space group Cmcm (No. 63); the cell edges are 8.1715, 9.2084 and 7.8759 Å and the angles 90.00°, 90.00° and 90.00°. The distinct sites, in fractional coordinates, are Tb at (0.0000, 0.1150, 0.2500), Fe at (0.0000, 0.1676, 0.5940), Fe at (0.0000, 0.3874, 0.0745), Fe at (0.1426, 0.3851, 0.7500), Fe at (0.2335, 0.0000, 0.0000), Fe at (0.2425, 0.3543, 0.2500) and B at (0.2500, 0.2500, 0.0000).

[12]
Computed, not measured: Tb2Fe17B3 after structural relaxation at the PBE level of DFT.

The calculation puts the formation energy at -0.08 eV/atom.

The structure belongs to space group R-3m (No. 166, hexagonal axes); the cell edges are 8.7136, 8.7136 and 12.4854 Å and the angles 90.00°, 90.00° and 120.00°. The distinct sites, in fractional coordinates, are Tb at (0.0000, 0.0000, 0.1563), Fe at (0.0000, 0.0000, 0.4037), Fe at (0.0000, 0.2790, 0.5000), Fe at (0.0000, 0.5000, 0.0000), Fe at (0.0074, 0.5037, 0.3426) and B at (0.0000, 0.5000, 0.5000).